[1]
The following is a DFT calculation (PBE) of a relaxed Er2CdIr crystal.

Calculated values
The distance to the lowest polymorph of the same formula is 1.64 kcal/mol of atoms. As for the symmetry: No. 225.

a b c (Å): 4.990 4.990 4.990
angles (deg): 60.00 60.00 60.00
Fractional coordinates of all 4 atoms:
Cd1 0.500 0.500 0.500
Ir1 0.000 0.000 0.000
Er1 0.250 0.250 0.250
Er2 0.750 0.750 0.750



[2]
The following is a DFT calculation (PBE) of a relaxed Er4Cd3Ir crystal.

Calculated values
As for the symmetry: No. 123. The final energy is -33.67 eV for the cell shown.

a b c (Å): 3.553 3.553 15.214
angles (deg): 90.00 90.00 90.00
Fractional coordinates of all 8 atoms:
Cd1 0.500 0.500 0.242
Cd2 0.500 0.500 0.500
Cd3 0.500 0.500 0.758
Ir1 0.500 0.500 0.000
Er1 0.000 0.000 0.896
Er2 0.000 0.000 0.104
Er3 0.000 0.000 0.371
Er4 0.000 0.000 0.629



[3]
The following is a DFT calculation (PBE) of a relaxed Er2CdIr crystal.

Calculated values
The distance to the lowest polymorph of the same formula is 0.00 kcal/mol of atoms. As for the symmetry: No. 123.

a b c (Å): 3.493 3.493 7.433
angles (deg): 90.00 90.00 90.00
Fractional coordinates of all 4 atoms:
Cd1 0.500 0.500 0.500
Ir1 0.500 0.500 0.000
Er1 0.000 0.000 0.784
Er2 0.000 0.000 0.216



[4]
The following is a DFT calculation (PBE) of a relaxed Er5Cd2Ir2 crystal.

Calculated values
As for the symmetry: No. 64. The final energy is -95.35 eV for the cell shown.

a b c (Å): 7.566 7.472 8.831
angles (deg): 115.03 90.00 90.00
Fractional coordinates of all 18 atoms:
Er1 0.000 0.000 0.000
Er2 0.500 0.500 0.000
Er3 0.829 0.789 0.236
Er4 0.171 0.447 0.236
Er5 0.329 0.947 0.236
Er6 0.671 0.289 0.236
Er7 0.171 0.211 0.764
Er8 0.829 0.553 0.764
Er9 0.671 0.053 0.764
Er10 0.329 0.711 0.764
Cd1 0.000 0.217 0.434
Cd2 0.500 0.717 0.434
Cd3 0.000 0.783 0.566
Cd4 0.500 0.283 0.566
Ir1 0.634 0.868 0.000
Ir2 0.366 0.132 0.000
Ir3 0.134 0.632 0.000
Ir4 0.866 0.368 0.000



Number 1: magnetic moment 0.0 Bohr magnetons per cell, mass density 12.08 g/cm³, DOS(E_F) 0.645 states/eV per atom. Number 2: magnetic moment 0.0 Bohr magnetons per cell, mass density 10.36 g/cm³, DOS(E_F) 0.693 states/eV per atom. Number 3: magnetic moment 0.0 Bohr magnetons per cell, mass density 11.70 g/cm³, DOS(E_F) 0.437 states/eV per atom. Number 4: magnetic moment 0.0 Bohr magnetons per cell, mass density 10.61 g/cm³, DOS(E_F) 0.696 states/eV per atom.